(1)
DFT (PBE) results for a relaxed structure of IrPt2.

Properties
* ΔH_f (0 K): 625 meV/atom
* energy: -38.13 eV per cell
* relative energy among the computed polymorphs: 585 meV per atom

a b c (Å): 5.1874 5.1874 5.1874
angles (deg): 60.00 60.00 60.00
Fractional coordinates of all 6 atoms:
Ir1 0.1250 0.1250 0.1250
Ir2 0.8750 0.8750 0.8750
Pt1 0.0000 0.5000 0.5000
Pt2 0.5000 0.0000 0.5000
Pt3 0.5000 0.5000 0.0000
Pt4 0.5000 0.5000 0.5000

=====

(2)
DFT (PBE) results for a relaxed structure of CdHgAu2.

Properties
* ΔH_f (0 K): -24 meV/atom
* energy: -7.87 eV per cell

a b c (Å): 4.8244 4.8244 3.4833
angles (deg): 90.52 90.52 100.38
Fractional coordinates of all 4 atoms:
Cd1 0.0000 0.0000 0.0000
Hg1 0.5000 0.5000 0.0000
Au1 0.0000 0.5000 0.5000
Au2 0.5000 0.0000 0.5000